Here is TmGa3Co after structural relaxation from Alexandria via LeMat-Bulk. Energies are from PBE-GGA.

The space group is Pm-3m (No. 221) and the conventional cell measures 4.518, 4.518 and 4.518 Å, with angles of 90.00, 90.00 and 90.00 degrees. The inequivalent atoms are Tm at (0.000, 0.000, 0.000), Ga at (0.000, 0.500, 0.500) and Co at (0.500, 0.500, 0.500).

Its volume is 18.4 A^3/atom. The value obtained for the calculated formation energy is -0.28 eV/atom. The calculation puts the energy at -4.42 eV/atom. As for the total magnetization: 0.0 Bohr magnetons per cell.